Na4Tl4Ag after structural relaxation. Source: Alexandria, functional PBE-GGA.

a b c (Å): 5.022 7.402 7.402
angles (deg): 83.39 70.17 70.17
Positions (direct):
1 Tl 0.500 0.825 0.674
2 Na 0.163 0.174 0.000
3 Ag 0.500 0.500 0.000
4 Na 0.163 0.500 0.674
5 Na 0.837 0.826 0.000
6 Tl 0.500 0.175 0.326
7 Tl 0.175 0.826 0.325
8 Na 0.837 0.500 0.326
9 Tl 0.825 0.174 0.675

Symmetry ... I4/mmm, No. 139
ΔE_f ... -0.646 eV per formula unit
Fermi-level density of states ... 0.3193 states/eV/atom
Total magnetic moment ... 0.00 μB per cell